# 1
The following is a PBE calculation of La2PmSm6Er after structural relaxation, from the Alexandria database.

Lattice parameters (Å, degrees): 8.881 8.881 10.028 95.09 95.09 117.90
Element x y z (fractional)
1 La 0.195 0.292 0.041
2 La 0.292 0.195 0.541
3 La 0.708 0.805 0.459
4 La 0.805 0.708 0.959
5 Pm 0.013 0.987 0.250
6 Pm 0.987 0.013 0.750
7 Sm 0.018 0.578 0.189
8 Sm 0.121 0.738 0.556
9 Sm 0.262 0.879 0.944
10 Sm 0.298 0.506 0.380
11 Sm 0.422 0.982 0.311
12 Sm 0.494 0.702 0.120
13 Sm 0.506 0.298 0.880
14 Sm 0.578 0.018 0.689
15 Sm 0.702 0.494 0.620
16 Sm 0.738 0.121 0.056
17 Sm 0.879 0.262 0.444
18 Sm 0.982 0.422 0.811
19 Er 0.406 0.594 0.750
20 Er 0.594 0.406 0.250

The calculation puts the density of states at the Fermi level at 29.7 states/eV/cell. For the formation energy, the calculation gives 0.114 eV per atom.



# 2
The following is a PBE calculation of NbReAsH2 after structural relaxation, from the Alexandria database.

Lattice parameters (Å, degrees): 3.571 3.571 5.095 90.00 90.00 90.00
Element x y z (fractional)
1 Nb 0.000 0.000 0.000
2 Re 0.500 0.500 0.500
3 As 0.000 0.000 0.500
4 H 0.000 0.500 0.000
5 H 0.500 0.000 0.000

The calculation puts the density of states at the Fermi level at 3.3 states/eV/cell. As for the final energy: -6.079 eV/atom.



# 3
The following is a PBE calculation of CdTc2W after structural relaxation, from the Alexandria database.

Lattice parameters (Å, degrees): 5.847 5.847 5.847 103.00 103.00 123.37
Element x y z (fractional)
1 Cd 0.000 0.000 0.000
2 Cd 0.750 0.250 0.500
3 Tc 0.171 0.625 0.046
4 Tc 0.375 0.421 0.546
5 Tc 0.579 0.125 0.954
6 Tc 0.875 0.829 0.454
7 W 0.250 0.750 0.500
8 W 0.500 0.500 0.000

The calculation puts the density of states at the Fermi level at 6.1 states/eV/cell. For the formation energy, the calculation gives 0.887 eV per atom.